Record 1
Density functional theory data (PBE) for a relaxed structure of PmDy14Ho.

Properties
raw total energy: -73.72 eV per cell
crystal system: orthorhombic
V: 31.5 Å³/atom
space-group type: Amm2, No. 38

Structure (CIF):
```
data_PmDy14Ho
_chemical_formula_sum 'Pm1 Dy14 Ho1'
_cell_length_a 7.123
_cell_length_b 7.123
_cell_length_c 11.460
_cell_angle_alpha 90.00
_cell_angle_beta 90.00
_cell_angle_gamma 120.00
_space_group_name_H-M_alt 'P 1'
_space_group_IT_number 1
loop_
_space_group_symop_operation_xyz
'x,y,z'
loop_
_atom_site_label
_atom_site_type_symbol
_atom_site_fract_x
_atom_site_fract_y
_atom_site_fract_z
Dy1 Dy 0.709 0.792 0.500
Dy2 Dy 0.875 0.125 0.751
Dy3 Dy 0.042 0.459 0.000
Dy4 Dy 0.875 0.125 0.249
Dy5 Dy 0.875 0.625 0.249
Dy6 Dy 0.375 0.125 0.751
Dy7 Dy 0.375 0.625 0.250
Dy8 Dy 0.542 0.458 0.000
Dy9 Dy 0.208 0.291 0.500
Dy10 Dy 0.875 0.625 0.751
Dy11 Dy 0.375 0.625 0.750
Dy12 Dy 0.541 0.958 0.000
Dy13 Dy 0.375 0.125 0.249
Ho1 Ho 0.208 0.792 0.500
Dy14 Dy 0.042 0.958 0.000
Pm1 Pm 0.708 0.292 0.500
```



Record 2
Density functional theory data (PBE) for a relaxed structure of CeTiCo2P2.

Properties
raw total energy: -45.07 eV per cell
crystal system: trigonal
V: 14.9 Å³/atom
space-group type: P-3m1, No. 164

Structure (CIF):
```
data_CeTiCo2P2
_chemical_formula_sum 'Ce1 Ti1 Co2 P2'
_cell_length_a 3.923
_cell_length_b 3.923
_cell_length_c 6.687
_cell_angle_alpha 90.00
_cell_angle_beta 90.00
_cell_angle_gamma 120.00
_space_group_name_H-M_alt 'P 1'
_space_group_IT_number 1
loop_
_space_group_symop_operation_xyz
'x,y,z'
loop_
_atom_site_label
_atom_site_type_symbol
_atom_site_fract_x
_atom_site_fract_y
_atom_site_fract_z
P1 P 0.333 0.667 0.280
Ce1 Ce 0.000 0.000 0.000
Ti1 Ti 0.000 0.000 0.500
Co1 Co 0.333 0.667 0.657
Co2 Co 0.667 0.333 0.343
P2 P 0.667 0.333 0.720
```



no.,total magnetization (μB per formula unit)
1,0.0
2,0.0